[1]
## ReMo (PBE)

Data for a relaxed ReMo crystal.

a = 4.6195 Å, b = 2.7584 Å, c = 4.8660 Å
α = 90.00°, β = 90.00°, γ = 90.00°
Sites, in units of the cell vectors:
Re  0.2500  0.0000  0.1617
Re  0.7500  0.0000  0.8383
Mo  0.2500  0.5000  0.6647
Mo  0.7500  0.5000  0.3353

Energy relative to the lowest polymorph listed for this composition, meV/atom: 139
ΔH_f (0 K), kJ per mole of atoms: 22.3

=====

[2]
## CaLaZn3 (PBE)

Data for a relaxed CaLaZn3 crystal.

a = 13.9401 Å, b = 13.9401 Å, c = 4.6236 Å
α = 90.00°, β = 90.00°, γ = 164.28°
Sites, in units of the cell vectors:
Ca  0.2073  0.7927  0.7500
Ca  0.7927  0.2073  0.2500
La  0.0726  0.9274  0.2500
La  0.9274  0.0726  0.7500
Zn  0.3305  0.6695  0.7500
Zn  0.3809  0.6191  0.2500
Zn  0.4764  0.5236  0.2500
Zn  0.5236  0.4764  0.7500
Zn  0.6191  0.3809  0.7500
Zn  0.6695  0.3305  0.2500

Energy relative to the lowest polymorph listed for this composition, meV/atom: 0
ΔH_f (0 K), kJ per mole of atoms: -29.0

=====

[3]
## TmLuBe2 (PBE)

Data for a relaxed TmLuBe2 crystal.

a = 4.7326 Å, b = 4.7326 Å, c = 4.7326 Å
α = 60.00°, β = 60.00°, γ = 60.00°
Sites, in units of the cell vectors:
Tm  0.0000  0.0000  0.0000
Lu  0.5000  0.5000  0.5000
Be  0.2500  0.2500  0.2500
Be  0.7500  0.7500  0.7500

Energy relative to the lowest polymorph listed for this composition, meV/atom: 0
ΔH_f (0 K), kJ per mole of atoms: 5.3

=====

[4]
## DyYTmIn (PBE)

Data for a relaxed DyYTmIn crystal.

a = 5.4315 Å, b = 5.4315 Å, c = 5.4315 Å
α = 60.00°, β = 60.00°, γ = 60.00°
Sites, in units of the cell vectors:
Dy  0.0000  0.0000  0.0000
Y  0.5000  0.5000  0.5000
Tm  0.2500  0.2500  0.2500
In  0.7500  0.7500  0.7500

Energy relative to the lowest polymorph listed for this composition, meV/atom: 122
ΔH_f (0 K), kJ per mole of atoms: -13.8

=====

[5]
## CsMoP2Cl (PBE)

Data for a relaxed CsMoP2Cl crystal.

a = 4.7164 Å, b = 4.7164 Å, c = 5.6523 Å
α = 90.00°, β = 90.00°, γ = 90.00°
Sites, in units of the cell vectors:
Cs  0.0000  0.0000  0.0000
Mo  0.5000  0.5000  0.5000
P  0.0000  0.5000  0.5000
P  0.5000  0.0000  0.5000
Cl  0.5000  0.5000  0.0000

Formation energy from raw total energies, meV per atom: -305
Energy relative to the lowest polymorph listed for this composition, meV/atom: 0

=====

[6]
## RbTaRu3 (PBE)

Data for a relaxed RbTaRu3 crystal.

a = 4.6133 Å, b = 4.6133 Å, c = 4.6133 Å
α = 90.00°, β = 90.00°, γ = 90.00°
Sites, in units of the cell vectors:
Rb  0.0000  0.0000  0.0000
Ta  0.5000  0.5000  0.5000
Ru  0.0000  0.0000  0.5000
Ru  0.0000  0.5000  0.0000
Ru  0.5000  0.0000  0.0000

Energy relative to the lowest polymorph listed for this composition, meV/atom: 1553
ΔH_f (0 K), kJ per mole of atoms: 287.3

=====

[7]
## Rb2LiIn3Sn4 (PBE)

Data for a relaxed Rb2LiIn3Sn4 crystal.

a = 5.0726 Å, b = 5.0726 Å, c = 12.3606 Å
α = 90.00°, β = 90.00°, γ = 90.00°
Sites, in units of the cell vectors:
Rb  0.0000  0.5000  0.2457
Rb  0.5000  0.0000  0.7543
Li  0.5000  0.5000  0.0000
In  0.0000  0.0000  0.0000
In  0.0000  0.5000  0.6377
In  0.5000  0.0000  0.3623
Sn  0.0000  0.0000  0.5000
Sn  0.0000  0.5000  0.8731
Sn  0.5000  0.0000  0.1269
Sn  0.5000  0.5000  0.5000

ΔH_f (0 K), kJ per mole of atoms: -16.9

=====

[8]
## Cr2Hg2Cl (PBE)

Data for a relaxed Cr2Hg2Cl crystal.

a = 7.3670 Å, b = 7.3670 Å, c = 7.3670 Å
α = 146.81°, β = 146.81°, γ = 47.65°
Sites, in units of the cell vectors:
Cr  0.2500  0.7500  0.5000
Cr  0.7500  0.2500  0.5000
Hg  0.1053  0.1053  0.0000
Hg  0.8947  0.8947  0.0000
Cl  0.5000  0.5000  0.0000

Formation energy from raw total energies, meV per atom: 538

=====

[9]
## Ce2TiAs3Rh4 (PBE)

Data for a relaxed Ce2TiAs3Rh4 crystal.

a = 4.1091 Å, b = 4.1091 Å, c = 10.7576 Å
α = 90.00°, β = 90.00°, γ = 90.00°
Sites, in units of the cell vectors:
Ce  0.0000  0.5000  0.2404
Ce  0.5000  0.0000  0.7596
Ti  0.0000  0.0000  0.5000
As  0.0000  0.5000  0.8639
As  0.5000  0.0000  0.1361
As  0.5000  0.5000  0.5000
Rh  0.0000  0.0000  0.0000
Rh  0.0000  0.5000  0.6369
Rh  0.5000  0.0000  0.3631
Rh  0.5000  0.5000  0.0000

ΔH_f (0 K), kJ per mole of atoms: -91.5

=====

[10]
## Sc4Sb2Te (PBE)

Data for a relaxed Sc4Sb2Te crystal.

a = 7.7928 Å, b = 7.7928 Å, c = 7.7928 Å
α = 109.90°, β = 109.90°, γ = 108.63°
Sites, in units of the cell vectors:
Sc  0.0051  0.7556  0.6248
Sc  0.1303  0.2551  0.7495
Sc  0.1308  0.3803  0.3752
Sc  0.2444  0.9949  0.3752
Sc  0.5056  0.3808  0.2505
Sc  0.6192  0.4944  0.7495
Sc  0.6197  0.8692  0.6248
Sc  0.7449  0.8697  0.2505
Sb  0.3125  0.6250  0.1875
Sb  0.3750  0.6875  0.8125
Sb  0.4375  0.1250  0.8125
Sb  0.8750  0.5625  0.1875
Te  0.0000  0.0000  0.0000
Te  0.7500  0.2500  0.5000

Formation energy from raw total energies, meV per atom: -727

=====

[11]
## KInTeS2 (PBE)

Data for a relaxed KInTeS2 crystal.

a = 5.3713 Å, b = 5.3713 Å, c = 5.7606 Å
α = 90.00°, β = 90.00°, γ = 90.00°
Sites, in units of the cell vectors:
K  0.0000  0.0000  0.0000
In  0.5000  0.5000  0.0000
Te  0.5000  0.5000  0.5000
S  0.0000  0.5000  0.5000
S  0.5000  0.0000  0.5000

Formation energy from raw total energies, meV per atom: -59

=====

[12]
## HoGa2Pd8 (PBE)

Data for a relaxed HoGa2Pd8 crystal.

a = 6.8114 Å, b = 6.8114 Å, c = 4.6391 Å
α = 100.94°, β = 100.94°, γ = 113.97°
Sites, in units of the cell vectors:
Ho  0.0000  0.0000  0.0000
Ga  0.3133  0.6867  0.5000
Ga  0.6867  0.3133  0.5000
Pd  0.0800  0.3233  0.6056
Pd  0.2388  0.7612  0.0000
Pd  0.3233  0.0800  0.6056
Pd  0.3986  0.3986  0.1874
Pd  0.6014  0.6014  0.8126
Pd  0.6767  0.9200  0.3944
Pd  0.7612  0.2388  0.0000
Pd  0.9200  0.6767  0.3944

ΔH_f (0 K), kJ per mole of atoms: -53.1

=====

| no. | VASP energy (eV/atom) |
| --- | --- |
| 1 | -11.4081 |
| 2 | -2.4505 |
| 3 | -4.0565 |
| 4 | -4.7122 |
| 5 | -5.1749 |
| 6 | -5.1519 |
| 7 | -2.9827 |
| 8 | -3.8012 |
| 9 | -7.2597 |
| 10 | -5.9720 |
| 11 | -3.1058 |
| 12 | -5.2932 |